1.
# TbTh2Ga2Cu2

An optimized crystal structure of TbTh2Ga2Cu2 (PBE, the Alexandria database).

Cell and atoms, written as POSCAR:
```
TbTh2Ga2Cu2
1.0
-1.604 3.863 1.164
-2.757 2.087 -2.626
-8.852 -2.383 3.812
Th Ga Cu Tb
2 2 2 1
direct
0.125 0.125 0.625
0.875 0.875 0.375
0.729 0.729 0.814
0.271 0.271 0.186
0.395 0.395 0.816
0.605 0.605 0.184
0.000 0.000 0.000
```

Values from the calculation:
Total energy in eV per atom: -5.122
Density of states at the Fermi level in states/eV per atom: 0.686

=====

2.
# TbThGaCu

An optimized crystal structure of TbThGaCu (PBE, the Alexandria database).

Cell and atoms, written as POSCAR:
```
TbThGaCu
1.0
-4.696 -0.589 1.892
-1.388 -4.464 2.032
-0.688 -0.405 5.034
Tb Ga Cu Th
1 1 1 1
direct
0.000 0.000 0.000
0.750 0.750 0.750
0.250 0.250 0.250
0.500 0.500 0.500
```

Values from the calculation:
Total energy in eV per atom: -5.088
Density of states at the Fermi level in states/eV per atom: 1.266

=====

3.
# Tb2ThGa2Cu2

An optimized crystal structure of Tb2ThGa2Cu2 (PBE, the Alexandria database).

Cell and atoms, written as POSCAR:
```
Tb2ThGa2Cu2
1.0
4.407 0.000 0.000
2.203 3.817 0.000
2.203 1.272 9.245
Ga Tb Cu Th
2 2 2 1
direct
0.262 0.262 0.215
0.738 0.738 0.785
0.126 0.126 0.623
0.874 0.874 0.377
0.599 0.599 0.204
0.401 0.401 0.796
0.000 0.000 0.000
```

Values from the calculation:
Total energy in eV per atom: -4.781
Density of states at the Fermi level in states/eV per atom: 0.853

=====

Q: Which formula does entry 2 have?
A: TbThGaCu